<1>
Compound: NpIF3
Source: the Alexandria database
Functional: PBE
Structure: optimized geometry

The space group is P4mm (No. 99) and the conventional cell measures 4.401, 4.401 and 4.705 Å, with angles of 90.00, 90.00 and 90.00 degrees. Symmetry generates all atoms from Np at (0.000, 0.000, 0.000), I at (0.500, 0.500, 0.655), F at (0.000, 0.000, 0.485) and F at (0.000, 0.500, 0.131).

***

<2>
Compound: NpIF3
Source: the Alexandria database
Functional: PBE
Structure: optimized geometry

The space group is P2_1/c (No. 14) and the conventional cell measures 8.231, 5.965 and 11.959 Å, with angles of 90.00, 123.86 and 90.00 degrees. Symmetry generates all atoms from Np at (0.143, 0.066, 0.419), I at (0.460, 0.189, 0.366), F at (0.038, 0.730, 0.781), F at (0.144, 0.575, 0.105) and F at (0.206, 0.133, 0.013).

***

Of them, <2> has the highest stability.

***

<1>
Compound: IOF3
Source: the Alexandria database
Functional: PBE
Structure: optimized geometry

The space group is P2_12_12_1 (No. 19) and the conventional cell measures 5.551, 5.873 and 10.886 Å, with angles of 90.00, 90.00 and 90.00 degrees. Symmetry generates all atoms from I at (0.153, 0.096, 0.098), O at (0.201, 0.671, 0.523), F at (0.050, 0.306, 0.231), F at (0.085, 0.978, 0.703) and F at (0.209, 0.123, 0.484).

***

<2>
Compound: IOF3
Source: the Alexandria database
Functional: PBE
Structure: optimized geometry

The space group is Pm-3m (No. 221) and the conventional cell measures 4.094, 4.094 and 4.094 Å, with angles of 90.00, 90.00 and 90.00 degrees. Symmetry generates all atoms from I at (0.000, 0.000, 0.000), O at (0.500, 0.500, 0.500) and F at (0.000, 0.500, 0.500).

***

<3>
Compound: IOF3
Source: the Alexandria database
Functional: PBE
Structure: optimized geometry

The space group is Cmc2_1 (No. 36) and the conventional cell measures 7.844, 8.771 and 5.122 Å, with angles of 90.00, 90.00 and 90.00 degrees. Symmetry generates all atoms from I at (0.000, 0.204, 0.000), O at (0.000, 0.090, 0.709), F at (0.000, 0.379, 0.249) and F at (0.182, 0.323, 0.860).

***

<4>
Compound: IOF3
Source: the Alexandria database
Functional: PBE
Structure: optimized geometry

The space group is Pm-3m (No. 221) and the conventional cell measures 4.487, 4.487 and 4.487 Å, with angles of 90.00, 90.00 and 90.00 degrees. Symmetry generates all atoms from I at (0.000, 0.000, 0.000), O at (0.500, 0.500, 0.500) and F at (0.000, 0.000, 0.500).

***

Of them, <1> has the highest stability.

***

<1>
Compound: I2OF
Source: the Alexandria database
Functional: PBE
Structure: optimized geometry

The space group is I-42d (No. 122) and the conventional cell measures 5.344, 5.344 and 14.634 Å, with angles of 90.00, 90.00 and 90.00 degrees. Symmetry generates all atoms from I at (0.109, 0.250, 0.125), O at (0.000, 0.000, 0.000) and F at (0.000, 0.000, 0.500).

***

<2>
Compound: I2OF
Source: the Alexandria database
Functional: PBE
Structure: optimized geometry

The space group is Fm-3m (No. 225) and the conventional cell measures 6.556, 6.556 and 6.556 Å, with angles of 90.00, 90.00 and 90.00 degrees. Symmetry generates all atoms from I at (0.250, 0.250, 0.250), O at (0.000, 0.000, 0.000) and F at (0.000, 0.000, 0.500).

***

Of them, <1> has the highest stability.

***

<1>
Compound: P2IOF
Source: the Alexandria database
Functional: PBE
Structure: optimized geometry

The space group is P4/mmm (No. 123) and the conventional cell measures 5.321, 5.321 and 4.004 Å, with angles of 90.00, 90.00 and 90.00 degrees. Symmetry generates all atoms from P at (0.000, 0.500, 0.000), I at (0.000, 0.000, 0.000), O at (0.000, 0.000, 0.500) and F at (0.500, 0.500, 0.500).

***

<2>
Compound: P2IOF
Source: the Alexandria database
Functional: PBE
Structure: optimized geometry

The space group is P4/mmm (No. 123) and the conventional cell measures 4.090, 4.090 and 5.001 Å, with angles of 90.00, 90.00 and 90.00 degrees. Symmetry generates all atoms from P at (0.000, 0.500, 0.000), I at (0.000, 0.000, 0.500), O at (0.500, 0.500, 0.500) and F at (0.500, 0.500, 0.000).

***

Of them, <2> has the highest stability.

***

<1>
Compound: PdIOF2
Source: the Alexandria database
Functional: PBE
Structure: optimized geometry

The space group is P4/mmm (No. 123) and the conventional cell measures 4.134, 4.134 and 4.446 Å, with angles of 90.00, 90.00 and 90.00 degrees. Symmetry generates all atoms from Pd at (0.000, 0.000, 0.000), I at (0.500, 0.500, 0.500), O at (0.000, 0.000, 0.500) and F at (0.000, 0.500, 0.000).

***

<2>
Compound: PdIOF2
Source: the Alexandria database
Functional: PBE
Structure: optimized geometry

The space group is P4/mmm (No. 123) and the conventional cell measures 4.730, 4.730 and 4.023 Å, with angles of 90.00, 90.00 and 90.00 degrees. Symmetry generates all atoms from Pd at (0.000, 0.000, 0.000), I at (0.500, 0.500, 0.500), O at (0.500, 0.500, 0.000) and F at (0.000, 0.500, 0.500).

***

Of them, <1> has the highest stability.

***

<1>
Compound: PtIOF2
Source: the Alexandria database
Functional: PBE
Structure: optimized geometry

The space group is P4/mmm (No. 123) and the conventional cell measures 4.737, 4.737 and 3.989 Å, with angles of 90.00, 90.00 and 90.00 degrees. Symmetry generates all atoms from Pt at (0.000, 0.000, 0.000), I at (0.500, 0.500, 0.500), O at (0.500, 0.500, 0.000) and F at (0.000, 0.500, 0.500).

***

<2>
Compound: PtIOF2
Source: the Alexandria database
Functional: PBE
Structure: optimized geometry

The space group is P4/mmm (No. 123) and the conventional cell measures 4.672, 4.672 and 3.742 Å, with angles of 90.00, 90.00 and 90.00 degrees. Symmetry generates all atoms from Pt at (0.000, 0.000, 0.000), I at (0.500, 0.500, 0.500), O at (0.000, 0.000, 0.500) and F at (0.000, 0.500, 0.000).

***

Of them, <2> has the highest stability.

***

<1>
Compound: PtI2OF
Source: the Alexandria database
Functional: PBE
Structure: optimized geometry

The space group is P4/mmm (No. 123) and the conventional cell measures 5.651, 5.651 and 3.732 Å, with angles of 90.00, 90.00 and 90.00 degrees. Symmetry generates all atoms from Pt at (0.000, 0.000, 0.000), I at (0.000, 0.500, 0.000), O at (0.000, 0.000, 0.500) and F at (0.500, 0.500, 0.500).

***

<2>
Compound: PtI2OF
Source: the Alexandria database
Functional: PBE
Structure: optimized geometry

The space group is P4/mmm (No. 123) and the conventional cell measures 5.170, 5.170 and 3.630 Å, with angles of 90.00, 90.00 and 90.00 degrees. Symmetry generates all atoms from Pt at (0.000, 0.000, 0.000), I at (0.000, 0.500, 0.500), O at (0.500, 0.500, 0.000) and F at (0.500, 0.500, 0.500).

***

Of them, <1> has the highest stability.

***

<1>
Compound: RbIOF2
Source: the Alexandria database
Functional: PBE
Structure: optimized geometry

The space group is P4/mmm (No. 123) and the conventional cell measures 5.030, 5.030 and 4.081 Å, with angles of 90.00, 90.00 and 90.00 degrees. Symmetry generates all atoms from Rb at (0.000, 0.000, 0.000), I at (0.500, 0.500, 0.500), O at (0.500, 0.500, 0.000) and F at (0.000, 0.500, 0.500).

***

<2>
Compound: RbIOF2
Source: the Alexandria database
Functional: PBE
Structure: optimized geometry

The space group is P4/mmm (No. 123) and the conventional cell measures 4.984, 4.984 and 5.327 Å, with angles of 90.00, 90.00 and 90.00 degrees. Symmetry generates all atoms from Rb at (0.000, 0.000, 0.000), I at (0.500, 0.500, 0.500), O at (0.000, 0.000, 0.500) and F at (0.000, 0.500, 0.000).

***

Of them, <1> has the highest stability.